*w*
Material: PrPaSi4
Method: DFT, GGA-PBE
State: optimized geometry

Values from the calculation:
* M_tot: 0.000 μB/atom
* space group: F-43m, No. 216

abc: 5.3745 5.3745 5.3745
angles: 60.00 60.00 60.00
Closest atoms and distances in Å follow each position.
Atoms (fractional coordinates):
Pr: 0.0000 0.0000 0.0000  12 Si 3.15, 4 Pa 3.29
Pa: 0.7500 0.7500 0.7500  12 Si 3.15, 4 Pr 3.29
Si: 0.3746 0.3746 0.3746  6 Si 2.68-2.70
Si: 0.3746 0.3746 0.8762  6 Si 2.68-2.70
Si: 0.3746 0.8762 0.3746  6 Si 2.68-2.70
Si: 0.8762 0.3746 0.3746  6 Si 2.68-2.70

*x*
Material: PrPaSi4
Method: DFT, GGA-PBE
State: optimized geometry

Values from the calculation:
* M_tot: 0.000 μB/atom
* space group: Pbam, No. 55

abc: 8.2234 15.1944 4.0093
angles: 90.00 90.00 90.00
Closest atoms and distances in Å follow each position.
Atoms (fractional coordinates):
Pr: 0.0955 0.1465 0.0000  8 Si 3.10-3.36
Pr: 0.4045 0.6465 0.0000  8 Si 3.10-3.36
Pr: 0.5955 0.3535 0.0000  8 Si 3.10-3.36
Pr: 0.9045 0.8535 0.0000  8 Si 3.10-3.36
Pa: 0.1127 0.4224 0.0000  10 Si 2.97-3.00, 1 Pa 3.00
Pa: 0.3873 0.9224 0.0000  10 Si 2.97-3.00, 1 Pa 3.00
Pa: 0.6127 0.0776 0.0000  10 Si 2.97-3.00, 1 Pa 3.00
Pa: 0.8873 0.5776 0.0000  10 Si 2.97-3.00, 1 Pa 3.00
Si: 0.0131 0.7047 0.5000  3 Si 2.34-2.42
Si: 0.1252 0.9599 0.5000  3 Si 2.39-2.42
Si: 0.1581 0.5658 0.5000  2 Si 2.40-2.42
Si: 0.2219 0.8097 0.5000  3 Si 2.34-2.42
Si: 0.2781 0.3097 0.5000  3 Si 2.34-2.42
Si: 0.3419 0.0658 0.5000  2 Si 2.40-2.42
Si: 0.3748 0.4599 0.5000  3 Si 2.39-2.42
Si: 0.4869 0.2047 0.5000  3 Si 2.34-2.42
Si: 0.5131 0.7953 0.5000  3 Si 2.34-2.42
Si: 0.6252 0.5401 0.5000  3 Si 2.39-2.42
Si: 0.6581 0.9342 0.5000  2 Si 2.40-2.42
Si: 0.7219 0.6903 0.5000  3 Si 2.34-2.42
Si: 0.7781 0.1903 0.5000  3 Si 2.34-2.42
Si: 0.8419 0.4342 0.5000  2 Si 2.40-2.42
Si: 0.8748 0.0401 0.5000  3 Si 2.39-2.42
Si: 0.9869 0.2953 0.5000  3 Si 2.34-2.42

Which of them is the most stable? Correct choice: *x*.

*w*
Material: Pr2SmPa
Method: DFT, GGA-PBE
State: optimized geometry

Values from the calculation:
* M_tot: 0.000 μB/atom
* space group: P4/mmm, No. 123

abc: 3.4743 3.4743 10.6529
angles: 90.00 90.00 90.00
Closest atoms and distances in Å follow each position.
Atoms (fractional coordinates):
Pr: 0.0000 0.0000 0.2287  4 Pa 3.46, 4 Pr 3.47, 4 Sm 3.79
Pr: 0.0000 0.0000 0.7713  4 Pa 3.46, 4 Pr 3.47, 4 Sm 3.79
Sm: 0.5000 0.5000 0.5000  4 Sm 3.47, 8 Pr 3.79
Pa: 0.5000 0.5000 0.0000  8 Pr 3.46, 4 Pa 3.47

*x*
Material: Pr2SmPa
Method: DFT, GGA-PBE
State: optimized geometry

Values from the calculation:
* M_tot: 0.000 μB/atom
* space group: R-3m, No. 166

abc: 3.5201 3.5201 35.7214
angles: 90.00 90.00 120.00
Closest atoms and distances in Å follow each position.
Atoms (fractional coordinates):
Pr: 0.0000 0.0000 0.2448  3 Pa 3.45, 6 Pr 3.52, 3 Sm 3.76
Pr: 0.0000 0.0000 0.7552  3 Pa 3.45, 6 Pr 3.52, 3 Sm 3.76
Pr: 0.3333 0.6667 0.4218  3 Pa 3.45, 6 Pr 3.52, 3 Sm 3.76
Pr: 0.3333 0.6667 0.9115  3 Pa 3.45, 6 Pr 3.52, 3 Sm 3.76
Pr: 0.6667 0.3333 0.0885  3 Pa 3.45, 6 Pr 3.52, 3 Sm 3.76
Pr: 0.6667 0.3333 0.5782  3 Pa 3.45, 6 Pr 3.52, 3 Sm 3.76
Sm: 0.0000 0.0000 0.0000  6 Sm 3.52, 6 Pr 3.76
Sm: 0.3333 0.6667 0.6667  6 Sm 3.52, 6 Pr 3.76
Sm: 0.6667 0.3333 0.3333  6 Sm 3.52, 6 Pr 3.76
Pa: 0.0000 0.0000 0.5000  6 Pr 3.45, 6 Pa 3.52
Pa: 0.3333 0.6667 0.1667  6 Pr 3.45, 6 Pa 3.52
Pa: 0.6667 0.3333 0.8333  6 Pr 3.45, 6 Pa 3.52

Which of them is the most stable? Correct choice: *x*.

*w*
Material: PrPaSn2
Method: DFT, GGA-PBE
State: optimized geometry

Values from the calculation:
* M_tot: 0.000 μB/atom
* space group: R-3m, No. 166

abc: 4.4887 4.4887 21.8300
angles: 90.00 90.00 120.00
Closest atoms and distances in Å follow each position.
Atoms (fractional coordinates):
Pr: 0.0000 0.0000 0.0000  6 Sn 3.24
Pr: 0.3333 0.6667 0.6667  6 Sn 3.24
Pr: 0.6667 0.3333 0.3333  6 Sn 3.24
Pa: 0.0000 0.0000 0.5000  6 Sn 3.10
Pa: 0.3333 0.6667 0.1667  6 Sn 3.10
Pa: 0.6667 0.3333 0.8333  6 Sn 3.10
Sn: 0.0000 0.0000 0.2442  3 Pa 3.10, 3 Pr 3.24
Sn: 0.0000 0.0000 0.7558  3 Pa 3.10, 3 Pr 3.24
Sn: 0.3333 0.6667 0.4225  3 Pa 3.10, 3 Pr 3.24
Sn: 0.3333 0.6667 0.9109  3 Pa 3.10, 3 Pr 3.24
Sn: 0.6667 0.3333 0.0891  3 Pa 3.10, 3 Pr 3.24
Sn: 0.6667 0.3333 0.5775  3 Pa 3.10, 3 Pr 3.24

*x*
Material: PrPaSn2
Method: DFT, GGA-PBE
State: optimized geometry

Values from the calculation:
* M_tot: 0.098 μB/atom
* space group: P4/mmm, No. 123

abc: 3.4589 3.4589 9.0819
angles: 90.00 90.00 90.00
Closest atoms and distances in Å follow each position.
Atoms (fractional coordinates):
Pr: 0.0000 0.0000 0.0000  8 Sn 3.39, 4 Pr 3.46
Pa: 0.0000 0.0000 0.5000  8 Sn 3.29, 4 Pa 3.46
Sn: 0.5000 0.5000 0.2577  4 Pa 3.29, 4 Pr 3.39, 4 Sn 3.46
Sn: 0.5000 0.5000 0.7423  4 Pa 3.29, 4 Pr 3.39, 4 Sn 3.46

Which of them is the most stable? Correct choice: *x*.